Here is an optimized crystal structure of CaNdErCd from Alexandria via LeMat-Bulk. Energies are from PBE-GGA.

Geometry as POSCAR:
```
CaNdErCd
1.0
5.556 0.000 0.000
2.778 4.811 0.000
2.778 1.604 4.536
Cd Nd Er Ca
1 1 1 1
direct
0.750 0.750 0.750 Cd
0.500 0.500 0.500 Nd
0.000 0.000 0.000 Er
0.250 0.250 0.250 Ca
```

Calculated values
DFT formation energy = -0.01 eV/atom
volume = 121.3 Å³/cell
crystal system = cubic
excess energy over the best structure of this formula in the dataset = 127.3 meV/atom
E_tot = -3.077 eV per atom
total moment = 0.0001 μB per atom

Here is an optimized crystal structure of CaErCdNi from Alexandria via LeMat-Bulk. Energies are from PBE-GGA.

Geometry as POSCAR:
```
CaErCdNi
1.0
-4.791 -1.481 0.654
-1.823 -0.677 4.668
-3.411 3.228 1.875
Cd Er Ni Ca
1 1 1 1
direct
0.750 0.750 0.750 Cd
0.000 0.000 0.000 Er
0.250 0.250 0.250 Ni
0.500 0.500 0.500 Ca
```

Calculated values
DFT formation energy = -0.17 eV/atom
volume = 91.4 Å³/cell
crystal system = cubic
E_tot = -3.483 eV per atom
total moment = 0.0000 μB per atom

Here is an optimized crystal structure of CaErCdPb from Alexandria via LeMat-Bulk. Energies are from PBE-GGA.

Geometry as POSCAR:
```
CaErCdPb
1.0
-4.576 2.709 -0.899
-4.331 -2.582 -1.914
-4.281 -0.808 3.179
Er Ca Pb Cd
1 1 1 1
direct
0.500 0.500 0.500 Er
0.000 0.000 0.000 Ca
0.250 0.250 0.250 Pb
0.750 0.750 0.750 Cd
```

Calculated values
DFT formation energy = -0.39 eV/atom
volume = 110.9 Å³/cell
crystal system = cubic
E_tot = -3.184 eV per atom
total moment = 0.0000 μB per atom

Here is an optimized crystal structure of CaPmErCd from Alexandria via LeMat-Bulk. Energies are from PBE-GGA.

Geometry as POSCAR:
```
CaPmErCd
1.0
-2.459 -4.728 1.601
1.175 -4.770 -2.613
2.959 -3.936 2.591
Er Pm Ca Cd
1 1 1 1
direct
0.500 0.500 0.500 Er
0.250 0.250 0.250 Pm
0.000 0.000 0.000 Ca
0.750 0.750 0.750 Cd
```

Calculated values
DFT formation energy = 0.05 eV/atom
volume = 121.8 Å³/cell
crystal system = cubic
E_tot = -3.006 eV per atom
total moment = 0.0000 μB per atom

Here is an optimized crystal structure of CaPrErCd from Alexandria via LeMat-Bulk. Energies are from PBE-GGA.

Geometry as POSCAR:
```
CaPrErCd
1.0
5.574 0.000 0.000
2.787 4.827 0.000
2.787 1.609 4.551
Er Pr Cd Ca
1 1 1 1
direct
0.000 0.000 0.000 Er
0.500 0.500 0.500 Pr
0.250 0.250 0.250 Cd
0.750 0.750 0.750 Ca
```

Calculated values
DFT formation energy = -0.02 eV/atom
volume = 122.5 Å³/cell
crystal system = cubic
excess energy over the best structure of this formula in the dataset = 128.2 meV/atom
E_tot = -3.083 eV per atom
total moment = 0.0000 μB per atom

Here is an optimized crystal structure of CaPrEr2Cd4 from Alexandria via LeMat-Bulk. Energies are from PBE-GGA.

Geometry as POSCAR:
```
CaPrEr2Cd4
1.0
-1.351 -2.716 -4.404
1.251 -5.181 -0.436
-7.673 -4.787 2.059
Pr Er Ca Cd
1 2 1 4
direct
0.000 0.000 0.000 Pr
0.249 0.249 0.254 Er
0.751 0.751 0.746 Er
0.500 0.500 0.500 Ca
0.875 0.875 0.376 Cd
0.125 0.125 0.624 Cd
0.376 0.376 0.872 Cd
0.624 0.624 0.128 Cd
```

Calculated values
DFT formation energy = -0.32 eV/atom
volume = 216.6 Å³/cell
crystal system = trigonal
E_tot = -2.763 eV per atom
total moment = 0.0000 μB per atom

Here is an optimized crystal structure of CaPrErCd from Alexandria via LeMat-Bulk. Energies are from PBE-GGA.

Geometry as POSCAR:
```
CaPrErCd
1.0
-3.219 1.637 -0.540
-0.935 -2.620 -2.365
-3.754 -5.047 7.074
Ca Cd Pr Er
1 1 1 1
direct
0.500 0.500 0.780 Ca
0.000 0.000 0.556 Cd
0.000 0.000 0.094 Pr
0.500 0.500 0.355 Er
```

Calculated values
DFT formation energy = -0.15 eV/atom
volume = 126.2 Å³/cell
crystal system = tetragonal
excess energy over the best structure of this formula in the dataset = 0.0 meV/atom
E_tot = -3.211 eV per atom
total moment = 0.0000 μB per atom

Here is an optimized crystal structure of CaErCdPt from Alexandria via LeMat-Bulk. Energies are from PBE-GGA.

Geometry as POSCAR:
```
CaErCdPt
1.0
5.073 0.000 0.000
2.536 4.393 0.000
2.536 1.464 4.142
Cd Er Pt Ca
1 1 1 1
direct
0.500 0.500 0.500 Cd
0.750 0.750 0.750 Er
0.000 0.000 0.000 Pt
0.250 0.250 0.250 Ca
```

Calculated values
DFT formation energy = -0.66 eV/atom
volume = 92.3 Å³/cell
crystal system = cubic
E_tot = -4.038 eV per atom
total moment = 0.0000 μB per atom

Here is an optimized crystal structure of CaErCdRh from Alexandria via LeMat-Bulk. Energies are from PBE-GGA.

Geometry as POSCAR:
```
CaErCdRh
1.0
-4.947 -0.957 -0.307
-1.652 -3.884 -2.770
-1.928 -4.078 2.268
Er Ca Rh Cd
1 1 1 1
direct
0.500 0.500 0.500 Er
0.000 0.000 0.000 Ca
0.250 0.250 0.250 Rh
0.750 0.750 0.750 Cd
```

Calculated values
DFT formation energy = -0.41 eV/atom
volume = 91.0 Å³/cell
crystal system = cubic
E_tot = -4.121 eV per atom
total moment = 0.0000 μB per atom

Here is an optimized crystal structure of CaErCdRu from Alexandria via LeMat-Bulk. Energies are from PBE-GGA.

Geometry as POSCAR:
```
CaErCdRu
1.0
-4.630 1.912 -0.331
-3.991 -3.040 0.192
-2.994 0.039 4.030
Ca Cd Er Ru
1 1 1 1
direct
0.500 0.500 0.500 Ca
0.250 0.250 0.250 Cd
0.000 0.000 0.000 Er
0.750 0.750 0.750 Ru
```

Calculated values
DFT formation energy = -0.12 eV/atom
volume = 89.5 Å³/cell
crystal system = cubic
E_tot = -4.306 eV per atom
total moment = 0.0000 μB per atom

Here is an optimized crystal structure of Ca2ErCdS4 from Alexandria via LeMat-Bulk. Energies are from PBE-GGA.

Geometry as POSCAR:
```
Ca2ErCdS4
1.0
-3.459 -0.210 1.909
-0.332 -6.934 -1.362
3.190 1.043 5.893
Cd S Ca Er
1 4 2 1
direct
0.000 0.000 0.000 Cd
0.500 0.255 0.238 S
0.000 0.741 0.242 S
0.500 0.745 0.762 S
0.000 0.259 0.758 S
0.000 0.500 0.500 Ca
0.500 0.000 0.500 Ca
0.500 0.500 0.000 Er
```

Calculated values
volume = 178.5 Å³/cell
crystal system = monoclinic
E_tot = -4.901 eV per atom
total moment = 0.0000 μB per atom

Here is an optimized crystal structure of Ca2ErCdSe4 from Alexandria via LeMat-Bulk. Energies are from PBE-GGA.

Geometry as POSCAR:
```
Ca2ErCdSe4
1.0
-3.045 1.945 -2.018
-3.757 0.728 6.372
4.200 5.605 -0.934
Se Ca Er Cd
4 2 1 1
direct
0.500 0.743 0.761 Se
0.000 0.259 0.758 Se
0.500 0.257 0.239 Se
0.000 0.741 0.242 Se
0.500 0.000 0.500 Ca
0.000 0.500 0.500 Ca
0.500 0.500 0.000 Er
0.000 0.000 0.000 Cd
```

Calculated values
volume = 204.7 Å³/cell
crystal system = monoclinic
E_tot = -4.463 eV per atom
total moment = 0.0000 μB per atom